Ac3Ag2Pd3 | PBE-GGA | relaxed

Values from the calculation:
For the distance to the lowest polymorph of the same formula, the calculation gives 86 meV/atom. As for the symmetry: P6_3/mcm (193). For the total energy, the calculation gives -37.8 eV/f.u. The formation enthalpy at 0 K comes out at -0.5278 eV/atom. The density comes out at 9154 kg/m³.

Unit cell a=6.0545 b=9.1729 c=9.1729 alpha=120.00 beta=90.00 gamma=90.00
Atoms (fractional coordinates):
Ac (0.7500, 0.3093, 0.0000)
Ac (0.7500, 0.6907, 0.6907)
Ac (0.7500, 0.0000, 0.3093)
Ac (0.2500, 0.6907, 0.0000)
Ac (0.2500, 0.3093, 0.3093)
Ac (0.2500, 0.0000, 0.6907)
Ag (0.0000, 0.3333, 0.6667)
Ag (0.5000, 0.6667, 0.3333)
Ag (0.0000, 0.6667, 0.3333)
Ag (0.5000, 0.3333, 0.6667)
Pd (0.7500, 0.6369, 0.0000)
Pd (0.7500, 0.3631, 0.3631)
Pd (0.7500, 0.0000, 0.6369)
Pd (0.2500, 0.3631, 0.0000)
Pd (0.2500, 0.6369, 0.6369)
Pd (0.2500, 0.0000, 0.3631)